Entry 1:
Material: Ce5PS4
Method: DFT, GGA-PBE
State: relaxed

Output
**Energy relative to the elements, uncorrected**: -1.946 eV/atom
**Crystal system**: tetragonal
**Spin magnetization**: 0.15 μB/atom

```
data_Ce5PS4
_chemical_formula_sum 'Ce10 P2 S8'
_cell_length_a 4.029
_cell_length_b 4.029
_cell_length_c 28.505
_cell_angle_alpha 90.00
_cell_angle_beta 90.00
_cell_angle_gamma 90.00
_space_group_name_H-M_alt 'I 4/m m m'
_space_group_IT_number 139
_space_group_name_Hall '-I 4 2'
loop_
_atom_site_label
_atom_site_fract_x
_atom_site_fract_y
_atom_site_fract_z
_atom_site_occupancy
Ce1 0.000 0.000 0.000 1
Ce2 0.000 0.000 0.200 1
Ce3 0.000 0.000 0.400 1
P1 0.000 0.000 0.500 1
S1 0.000 0.000 0.100 1
S2 0.000 0.000 0.300 1
```



Entry 2:
Material: NaCdBPt2
Method: DFT, GGA-PBE
State: relaxed

Output
**Energy above the most stable polymorph in this dataset**: 19 meV/atom
**ΔE_f**: -0.1361 eV/atom
**Crystal system**: tetragonal
**Spin magnetization**: 0.00 μB/atom

```
data_NaCdBPt2
_chemical_formula_sum 'Na1 Cd1 B1 Pt2'
_cell_length_a 4.165
_cell_length_b 4.165
_cell_length_c 4.767
_cell_angle_alpha 90.00
_cell_angle_beta 90.00
_cell_angle_gamma 90.00
_space_group_name_H-M_alt 'P 4/m m m'
_space_group_IT_number 123
_space_group_name_Hall '-P 4 2'
loop_
_atom_site_label
_atom_site_fract_x
_atom_site_fract_y
_atom_site_fract_z
_atom_site_occupancy
Na1 0.000 0.000 0.000 1
Cd1 0.500 0.500 0.000 1
B1 0.000 0.000 0.500 1
Pt1 0.000 0.500 0.500 1
```



Entry 3:
Material: BaAsIr2Rh
Method: DFT, GGA-PBE
State: relaxed

Output
**ΔE_f**: 0.6175 eV/atom
**Crystal system**: tetragonal
**Spin magnetization**: 0.66 μB/atom

```
data_BaAsIr2Rh
_chemical_formula_sum 'Ba1 As1 Ir2 Rh1'
_cell_length_a 5.068
_cell_length_b 5.068
_cell_length_c 4.627
_cell_angle_alpha 90.00
_cell_angle_beta 90.00
_cell_angle_gamma 90.00
_space_group_name_H-M_alt 'P 4/m m m'
_space_group_IT_number 123
_space_group_name_Hall '-P 4 2'
loop_
_atom_site_label
_atom_site_fract_x
_atom_site_fract_y
_atom_site_fract_z
_atom_site_occupancy
Ba1 0.000 0.000 0.000 1
As1 0.500 0.500 0.000 1
Ir1 0.000 0.500 0.500 1
Rh1 0.500 0.500 0.500 1
```



Entry 4:
Material: LiHgSb2
Method: DFT, GGA-PBE
State: relaxed

Output
**Energy relative to the elements, uncorrected**: -0.120 eV/atom
**Crystal system**: orthorhombic
**Spin magnetization**: 0.00 μB/atom

```
data_LiHgSb2
_chemical_formula_sum 'Li2 Hg2 Sb4'
_cell_length_a 4.057
_cell_length_b 4.464
_cell_length_c 11.818
_cell_angle_alpha 90.00
_cell_angle_beta 90.00
_cell_angle_gamma 90.00
_space_group_name_H-M_alt 'I m m 2'
_space_group_IT_number 44
loop_
_space_group_symop_operation_xyz
'x,y,z'
'-x,-y,z'
'-x,y,z'
'x,-y,z'
'x+1/2,y+1/2,z+1/2'
'-x+1/2,-y+1/2,z+1/2'
'-x+1/2,y+1/2,z+1/2'
'x+1/2,-y+1/2,z+1/2'
loop_
_atom_site_label
_atom_site_fract_x
_atom_site_fract_y
_atom_site_fract_z
_atom_site_occupancy
Li1 0.000 0.000 0.000 1
Hg1 0.000 0.500 0.210 1
Sb1 0.000 0.000 0.492 1
Sb2 0.000 0.500 0.814 1
```



Entry 5:
Material: CoReSb2
Method: DFT, GGA-PBE
State: relaxed

Output
**Energy above the most stable polymorph in this dataset**: 184 meV/atom
**Energy relative to the elements, uncorrected**: 0.446 eV/atom
**Crystal system**: tetragonal
**Spin magnetization**: 0.16 μB/atom

```
data_CoReSb2
_chemical_formula_sum 'Co1 Re1 Sb2'
_cell_length_a 3.284
_cell_length_b 3.284
_cell_length_c 6.318
_cell_angle_alpha 90.00
_cell_angle_beta 90.00
_cell_angle_gamma 90.00
_space_group_name_H-M_alt 'P 4/m m m'
_space_group_IT_number 123
_space_group_name_Hall '-P 4 2'
loop_
_atom_site_label
_atom_site_fract_x
_atom_site_fract_y
_atom_site_fract_z
_atom_site_occupancy
Co1 0.000 0.000 0.000 1
Re1 0.000 0.000 0.500 1
Sb1 0.500 0.500 0.243 1
```



Entry 6:
Material: Ca2MgSe
Method: DFT, GGA-PBE
State: relaxed

Output
**Energy above the most stable polymorph in this dataset**: 226 meV/atom
**Energy relative to the elements, uncorrected**: -0.660 eV/atom
**Crystal system**: orthorhombic
**Spin magnetization**: 0.00 μB/atom

```
data_Ca2MgSe
_chemical_formula_sum 'Ca4 Mg2 Se2'
_cell_length_a 6.923
_cell_length_b 8.358
_cell_length_c 3.810
_cell_angle_alpha 90.00
_cell_angle_beta 90.00
_cell_angle_gamma 90.00
_space_group_name_H-M_alt 'C m m m'
_space_group_IT_number 65
_space_group_name_Hall '-C 2 2'
loop_
_atom_site_label
_atom_site_fract_x
_atom_site_fract_y
_atom_site_fract_z
_atom_site_occupancy
Ca1 0.250 0.250 0.000 1
Mg1 0.000 0.000 0.500 1
Se1 0.000 0.500 0.500 1
```



Entry 7:
Material: Th2GaTcC
Method: DFT, GGA-PBE
State: relaxed

Output
**ΔE_f**: -0.2569 eV/atom
**Crystal system**: monoclinic
**Spin magnetization**: 0.00 μB/atom

```
data_Th2GaTcC
_chemical_formula_sum 'Th4 Ga2 Tc2 C2'
_cell_length_a 6.612
_cell_length_b 4.127
_cell_length_c 8.506
_cell_angle_alpha 90.00
_cell_angle_beta 110.09
_cell_angle_gamma 90.00
_space_group_name_H-M_alt 'P 1 21/m 1'
_space_group_IT_number 11
loop_
_space_group_symop_operation_xyz
'x,y,z'
'-x,-y,-z'
'-x,y+1/2,-z'
'x,-y+1/2,z'
loop_
_atom_site_label
_atom_site_fract_x
_atom_site_fract_y
_atom_site_fract_z
_atom_site_occupancy
Th1 0.219 0.250 0.387 1
Th2 0.226 0.250 0.971 1
Ga1 0.289 0.750 0.697 1
Tc1 0.480 0.750 0.257 1
C1 0.165 0.750 0.170 1
```



Entry 8:
Material: LiTa2Si
Method: DFT, GGA-PBE
State: relaxed

Output
**Energy relative to the elements, uncorrected**: 0.078 eV/atom
**Crystal system**: tetragonal
**Spin magnetization**: 0.00 μB/atom

```
data_LiTa2Si
_chemical_formula_sum 'Li1 Ta2 Si1'
_cell_length_a 3.334
_cell_length_b 3.334
_cell_length_c 5.597
_cell_angle_alpha 90.00
_cell_angle_beta 90.00
_cell_angle_gamma 90.00
_space_group_name_H-M_alt 'P 4/m m m'
_space_group_IT_number 123
_space_group_name_Hall '-P 4 2'
loop_
_atom_site_label
_atom_site_fract_x
_atom_site_fract_y
_atom_site_fract_z
_atom_site_occupancy
Li1 0.000 0.000 0.000 1
Ta1 0.500 0.500 0.260 1
Si1 0.000 0.000 0.500 1
```



Entry 9:
Material: Sc5Zn4
Method: DFT, GGA-PBE
State: relaxed

Output
**Energy above the most stable polymorph in this dataset**: 0 meV/atom
**ΔE_f**: -0.2569 eV/atom
**Crystal system**: hexagonal
**Spin magnetization**: 0.00 μB/atom

```
data_Sc5Zn4
_chemical_formula_sum 'Sc10 Zn8'
_cell_length_a 8.3093
_cell_length_b 8.3093
_cell_length_c 5.9855
_cell_angle_alpha 90.00
_cell_angle_beta 90.00
_cell_angle_gamma 120.00
_space_group_name_H-M_alt 'P 63/m c m'
_space_group_IT_number 193
_space_group_name_Hall '-P 6c 2'
loop_
_atom_site_label
_atom_site_fract_x
_atom_site_fract_y
_atom_site_fract_z
_atom_site_occupancy
Sc1 0.0000 0.2957 0.2500 1
Sc2 0.3333 0.6667 0.0000 1
Zn1 0.0000 0.0000 0.0000 1
Zn2 0.0000 0.3695 0.7500 1
```



Entry 10:
Material: Cs2Sm2RuO6
Method: DFT, GGA-PBE
State: relaxed

Output
**Energy relative to the elements, uncorrected**: -2.076 eV/atom
**Crystal system**: monoclinic
**Spin magnetization**: 0.18 μB/atom

```
data_Cs2Sm2RuO6
_chemical_formula_sum 'Cs4 Sm4 Ru2 O12'
_cell_length_a 5.994
_cell_length_b 10.293
_cell_length_c 7.207
_cell_angle_alpha 90.00
_cell_angle_beta 104.14
_cell_angle_gamma 90.00
_space_group_name_H-M_alt 'C 1 2/m 1'
_space_group_IT_number 12
loop_
_space_group_symop_operation_xyz
'x,y,z'
'-x,-y,-z'
'-x,y,-z'
'x,-y,z'
'x+1/2,y+1/2,z'
'-x+1/2,-y+1/2,-z'
'-x+1/2,y+1/2,-z'
'x+1/2,-y+1/2,z'
loop_
_atom_site_label
_atom_site_fract_x
_atom_site_fract_y
_atom_site_fract_z
_atom_site_occupancy
Cs1 0.000 0.165 0.000 1
Sm1 0.000 0.333 0.500 1
Ru1 0.000 0.000 0.500 1
O1 0.199 0.154 0.657 1
O2 0.243 0.000 0.345 1
```



Entry 11:
Material: Nd4Dy7Th
Method: DFT, GGA-PBE
State: relaxed

Output
**Energy above the most stable polymorph in this dataset**: 0 meV/atom
**ΔE_f**: 0.0206 eV/atom
**Crystal system**: triclinic
**Spin magnetization**: 0.00 μB/atom

```
data_Nd4Dy7Th
_chemical_formula_sum 'Nd4 Dy7 Th1'
_cell_length_a 7.163
_cell_length_b 8.025
_cell_length_c 8.031
_cell_angle_alpha 95.88
_cell_angle_beta 102.47
_cell_angle_gamma 116.48
_space_group_name_H-M_alt 'P -1'
_space_group_IT_number 2
loop_
_space_group_symop_operation_xyz
'x,y,z'
'-x,-y,-z'
loop_
_atom_site_label
_atom_site_fract_x
_atom_site_fract_y
_atom_site_fract_z
_atom_site_occupancy
Nd1 0.006 0.170 0.169 1
Nd2 0.255 0.666 0.171 1
Dy1 0.000 0.500 0.500 1
Dy2 0.252 0.005 0.500 1
Dy3 0.254 0.336 0.829 1
Dy4 0.499 0.829 0.829 1
Th1 0.500 0.500 0.500 1
```



Entry 12:
Material: Sr3Sn2Ge
Method: DFT, GGA-PBE
State: relaxed

Output
**ΔE_f**: -0.5737 eV/atom
**Crystal system**: orthorhombic
**Spin magnetization**: 0.00 μB/atom

```
data_Sr3Sn2Ge
_chemical_formula_sum 'Sr12 Sn8 Ge4'
_cell_length_a 13.164
_cell_length_b 4.662
_cell_length_c 13.369
_cell_angle_alpha 90.00
_cell_angle_beta 90.00
_cell_angle_gamma 90.00
_space_group_name_H-M_alt 'P n m a'
_space_group_IT_number 62
loop_
_space_group_symop_operation_xyz
'x,y,z'
'-x,-y,-z'
'-x+1/2,-y,z+1/2'
'x+1/2,y,-z+1/2'
'x+1/2,-y+1/2,-z+1/2'
'-x+1/2,y+1/2,z+1/2'
'-x,y+1/2,-z'
'x,-y+1/2,z'
loop_
_atom_site_label
_atom_site_fract_x
_atom_site_fract_y
_atom_site_fract_z
_atom_site_occupancy
Sr1 0.067 0.250 0.118 1
Sr2 0.116 0.750 0.549 1
Sr3 0.205 0.250 0.791 1
Sn1 0.024 0.750 0.316 1
Sn2 0.199 0.750 0.992 1
Ge1 0.148 0.250 0.345 1
```